Computed, not measured: an optimized crystal structure of ReWO2 at the PBE+U level of DFT.

Final energy ... -7.48 eV/atom
Energy relative to the lowest polymorph listed for this composition ... 587 meV per atom

Unit cell a=4.833 b=4.833 c=9.384 alpha=90.00 beta=90.00 gamma=90.00
Space group I-42d (No. 122)
One atom of each set of equivalent atoms:
Re (0.000, 0.000, 0.000) (multiplicity 4)
W (0.000, 0.000, 0.500) (multiplicity 4)
O (0.243, 0.250, 0.625) (multiplicity 8)